A relaxed NdInCo2 crystal. Source: Alexandria via LeMat-Bulk, functional PBE.

a b c (Å): 5.152 4.038 7.326
angles (deg): 90.00 90.00 90.00
Element x y z (fractional)
Nd 0.250 0.000 0.213
Nd 0.750 0.000 0.787
In 0.250 0.500 0.837
In 0.750 0.500 0.163
Co 0.000 0.500 0.500
Co 0.250 0.000 0.581
Co 0.500 0.500 0.500
Co 0.750 0.000 0.419

ΔE_f = -0.80 eV/f.u.
Density of states at the Fermi level = 1.396 states/eV/atom
Total magnetic moment = 2.24 μB/f.u.
Calculated volume = 19.0 A^3/atom

A relaxed Nd12InCo6 crystal. Source: Alexandria via LeMat-Bulk, functional PBE.

a b c (Å): 8.673 8.673 8.673
angles (deg): 109.47 109.47 109.47
Element x y z (fractional)
Nd 0.113 0.807 0.306
Nd 0.193 0.306 0.498
Nd 0.193 0.694 0.887
Nd 0.306 0.113 0.807
Nd 0.306 0.498 0.193
Nd 0.498 0.193 0.306
Nd 0.502 0.807 0.694
Nd 0.694 0.502 0.807
Nd 0.694 0.887 0.193
Nd 0.807 0.306 0.113
Nd 0.807 0.694 0.502
Nd 0.887 0.193 0.694
In 0.000 0.000 0.000
Co 0.111 0.611 0.500
Co 0.389 0.500 0.889
Co 0.500 0.111 0.611
Co 0.500 0.889 0.389
Co 0.611 0.500 0.111
Co 0.889 0.389 0.500

ΔE_f = -2.65 eV/f.u.
Density of states at the Fermi level = 0.778 states/eV/atom
Total magnetic moment = 0.00 μB/f.u.
Calculated volume = 26.4 A^3/atom

A relaxed Nd6InCo crystal. Source: Alexandria via LeMat-Bulk, functional PBE.

a b c (Å): 8.135 10.177 6.421
angles (deg): 90.00 105.43 90.00
Element x y z (fractional)
Nd 0.111 0.191 0.286
Nd 0.111 0.809 0.286
Nd 0.214 0.500 0.111
Nd 0.286 0.000 0.889
Nd 0.389 0.309 0.714
Nd 0.389 0.691 0.714
Nd 0.611 0.309 0.286
Nd 0.611 0.691 0.286
Nd 0.714 0.000 0.111
Nd 0.786 0.500 0.889
Nd 0.889 0.191 0.714
Nd 0.889 0.809 0.714
In 0.000 0.500 0.500
In 0.500 0.000 0.500
Co 0.000 0.000 0.000
Co 0.500 0.500 0.000

ΔE_f = -0.27 eV/f.u.
Density of states at the Fermi level = 1.138 states/eV/atom
Total magnetic moment = 0.00 μB/f.u.
Calculated volume = 32.0 A^3/atom

A relaxed Nd8InCo2 crystal. Source: Alexandria via LeMat-Bulk, functional PBE.

a b c (Å): 8.184 8.184 5.439
angles (deg): 96.92 96.92 114.68
Element x y z (fractional)
Nd 0.108 0.108 0.802
Nd 0.172 0.428 0.438
Nd 0.248 0.752 0.000
Nd 0.428 0.172 0.438
Nd 0.572 0.828 0.562
Nd 0.752 0.248 0.000
Nd 0.828 0.572 0.562
Nd 0.892 0.892 0.198
In 0.500 0.500 0.000
Co 0.200 0.800 0.500
Co 0.800 0.200 0.500

ΔE_f = -0.58 eV/f.u.
Density of states at the Fermi level = 1.283 states/eV/atom
Total magnetic moment = 0.00 μB/f.u.
Calculated volume = 29.3 A^3/atom